A relaxed structure of Np3Cl2F9. Source: Alexandria, functional PBE.

Cell lengths 7.3674, 7.3674, 9.8530 Å; angles 114.68, 114.68, 56.83 degrees
With the nearest neighbours (Å) after each atom.
Sites, in units of the cell vectors:
Np: 0.0000 0.5000 0.5000  6 F 2.28-2.46
Np: 0.1576 0.6600 0.9848  7 F 2.26-2.52
Np: 0.3400 0.8424 0.5152  7 F 2.26-2.52
Np: 0.5000 0.0000 0.0000  6 F 2.28-2.46
Np: 0.6600 0.1576 0.4848  7 F 2.26-2.52
Np: 0.8424 0.3400 0.0152  7 F 2.26-2.52
Cl: 0.2266 0.3913 0.2591  10 F 2.73-3.04, 2 Np 2.94-3.05
Cl: 0.3913 0.2266 0.7591  10 F 2.73-3.04, 2 Np 2.94-3.05
Cl: 0.6087 0.7734 0.2409  10 F 2.73-3.04, 2 Np 2.94-3.05
Cl: 0.7734 0.6087 0.7409  10 F 2.73-3.04, 2 Np 2.94-3.05
F: 0.0086 0.8179 0.4816  3 Np 2.41-2.46, 3 F 2.49-2.59
F: 0.1000 0.6891 0.7474  2 Np 2.28
F: 0.1387 0.3103 0.9466  3 Np 2.40-2.52, 3 F 2.49-2.62
F: 0.1821 0.9914 0.0184  3 Np 2.41-2.46, 3 F 2.49-2.59
F: 0.1934 0.8066 0.2500  2 Np 2.33
F: 0.3103 0.1387 0.4466  3 Np 2.40-2.52, 3 F 2.49-2.62
F: 0.3109 0.9000 0.7526  2 Np 2.28
F: 0.3858 0.4905 0.5722  1 Np 2.26
F: 0.4905 0.3858 0.0722  1 Np 2.26
F: 0.5095 0.6142 0.9278  1 Np 2.26
F: 0.6142 0.5095 0.4278  1 Np 2.26
F: 0.6891 0.1000 0.2474  2 Np 2.28
F: 0.6897 0.8613 0.5534  3 Np 2.40-2.52, 3 F 2.49-2.62
F: 0.8066 0.1934 0.7500  2 Np 2.33
F: 0.8179 0.0086 0.9816  3 Np 2.41-2.46, 3 F 2.49-2.59
F: 0.8613 0.6897 0.0534  3 Np 2.40-2.52, 3 F 2.49-2.62
F: 0.9000 0.3109 0.2526  2 Np 2.28
F: 0.9914 0.1821 0.5184  3 Np 2.41-2.46, 3 F 2.49-2.59

Properties
- volume (Å³/f.u.) = 197.0
- E_tot (eV for the cell shown) = -204.48
- space group = C2/c, No. 15
- uncorrected formation energy (eV/atom) = -3.063

***

A relaxed structure of NpCl3F2. Source: Alexandria, functional PBE.

Cell lengths 11.9670, 4.1161, 14.3245 Å; angles 90.00, 90.00, 90.00 degrees
With the nearest neighbours (Å) after each atom.
Sites, in units of the cell vectors:
Np: 0.1813 0.2500 0.1637  1 F 1.99
Np: 0.3187 0.7500 0.6637  1 F 1.99
Np: 0.6813 0.2500 0.3363  1 F 1.99
Np: 0.8187 0.7500 0.8363  1 F 1.99
Cl: 0.0223 0.7500 0.8831  1 Np 2.53, 2 F 2.80
Cl: 0.1565 0.2500 0.6698  1 F 2.75, 2 Np 2.83
Cl: 0.1586 0.2500 0.3347  1 Np 2.46
Cl: 0.3414 0.7500 0.8347  1 Np 2.46
Cl: 0.3435 0.7500 0.1698  1 F 2.75, 2 Np 2.83
Cl: 0.4777 0.2500 0.3831  1 Np 2.53, 2 F 2.80
Cl: 0.5223 0.7500 0.6169  1 Np 2.53, 2 F 2.80
Cl: 0.6565 0.2500 0.8302  1 F 2.75, 2 Np 2.83
Cl: 0.6586 0.2500 0.1653  1 Np 2.46
Cl: 0.8414 0.7500 0.6653  1 Np 2.46
Cl: 0.8435 0.7500 0.3302  1 F 2.75, 2 Np 2.83
Cl: 0.9777 0.2500 0.1169  1 Np 2.53, 2 F 2.80
F: 0.1140 0.7500 0.1837  2 Np 2.23
F: 0.2138 0.2500 0.0277  1 Np 1.99
F: 0.2862 0.7500 0.5277  1 Np 1.99
F: 0.3860 0.2500 0.6837  2 Np 2.23
F: 0.6140 0.7500 0.3163  2 Np 2.23
F: 0.7138 0.2500 0.4723  1 Np 1.99
F: 0.7862 0.7500 0.9723  1 Np 1.99
F: 0.8860 0.2500 0.8163  2 Np 2.23

Properties
- volume (Å³/f.u.) = 176.4
- E_tot (eV for the cell shown) = -138.96
- space group = Pnma, No. 62
- uncorrected formation energy (eV/atom) = -2.086

***

A relaxed structure of NpPbCl2F6. Source: Alexandria, functional PBE.

Cell lengths 7.9824, 9.8306, 6.0347 Å; angles 90.00, 90.00, 90.00 degrees
With the nearest neighbours (Å) after each atom.
Sites, in units of the cell vectors:
Np: 0.2500 0.2500 0.2239  6 F 2.02-2.06
Np: 0.7500 0.7500 0.7761  6 F 2.02-2.06
Pb: 0.2500 0.7500 0.4101  2 Cl 2.59, 2 F 2.66
Pb: 0.7500 0.2500 0.5899  2 Cl 2.59, 2 F 2.66
Cl: 0.2500 0.5728 0.7285  1 Pb 2.59
Cl: 0.2500 0.9272 0.7285  1 Pb 2.59
Cl: 0.7500 0.0728 0.2715  1 Pb 2.59
Cl: 0.7500 0.4272 0.2715  1 Pb 2.59
F: 0.0715 0.2500 0.4712  1 Np 2.06
F: 0.0713 0.2500 0.9869  1 Np 2.02
F: 0.2500 0.0443 0.2259  1 Np 2.02
F: 0.2500 0.4557 0.2259  1 Np 2.02
F: 0.4285 0.2500 0.4712  1 Np 2.06
F: 0.4287 0.2500 0.9869  1 Np 2.02
F: 0.5713 0.7500 0.0131  1 Np 2.02
F: 0.5715 0.7500 0.5288  1 Np 2.06
F: 0.7500 0.5443 0.7741  1 Np 2.02
F: 0.7500 0.9557 0.7741  1 Np 2.02
F: 0.9287 0.7500 0.0131  1 Np 2.02
F: 0.9285 0.7500 0.5288  1 Np 2.06

Properties
- volume (Å³/f.u.) = 236.8
- E_tot (eV for the cell shown) = -111.82
- space group = Pmmn, No. 59
- uncorrected formation energy (eV/atom) = -2.434

***

A relaxed structure of Rb2NpCl4F2. Source: Alexandria, functional PBE.

Cell lengths 7.0610, 7.0610, 5.7455 Å; angles 98.09, 98.09, 65.93 degrees
With the nearest neighbours (Å) after each atom.
Sites, in units of the cell vectors:
Rb: 0.1672 0.1672 0.3191  1 F 2.98
Rb: 0.8328 0.8328 0.6809  1 F 2.98
Np: 0.5000 0.5000 0.0000  2 F 2.09
Cl: 0.1451 0.6499 0.2034  1 Np 2.66
Cl: 0.3501 0.8549 0.7966  1 Np 2.66
Cl: 0.6499 0.1451 0.2034  1 Np 2.66
Cl: 0.8549 0.3501 0.7966  1 Np 2.66
F: 0.3618 0.3618 0.7221  1 Np 2.09
F: 0.6382 0.6382 0.2779  1 Np 2.09

Properties
- volume (Å³/f.u.) = 257.8
- E_tot (eV for the cell shown) = -46.95
- space group = C2/m, No. 12
- uncorrected formation energy (eV/atom) = -2.327

***

A relaxed structure of RbNpCl2F8. Source: Alexandria, functional PBE.

Cell lengths 6.5839, 6.5839, 7.5314 Å; angles 90.00, 90.00, 120.00 degrees
With the nearest neighbours (Å) after each atom.
Sites, in units of the cell vectors:
Rb: 0.0000 0.0000 0.0000  6 F 2.95
Np: 0.0000 0.0000 0.5000  6 F 2.08
Cl: 0.3333 0.6667 0.3603  1 F 1.66
Cl: 0.6667 0.3333 0.6397  1 F 1.66
F: 0.1423 0.2847 0.6731  1 Np 2.08
F: 0.1423 0.8577 0.6731  1 Np 2.08
F: 0.2847 0.1423 0.3269  1 Np 2.08
F: 0.3333 0.6667 0.1397  1 Cl 1.66
F: 0.6667 0.3333 0.8603  1 Cl 1.66
F: 0.7153 0.8577 0.6731  1 Np 2.08
F: 0.8577 0.1423 0.3269  1 Np 2.08
F: 0.8577 0.7153 0.3269  1 Np 2.08

Properties
- volume (Å³/f.u.) = 282.7
- E_tot (eV for the cell shown) = -59.15
- space group = P-3m1, No. 164
- uncorrected formation energy (eV/atom) = -2.215

***

A relaxed structure of RbNpCl2F6. Source: Alexandria, functional PBE.

Cell lengths 6.5972, 9.2741, 8.3978 Å; angles 90.00, 90.00, 90.00 degrees
With the nearest neighbours (Å) after each atom.
Sites, in units of the cell vectors:
Rb: 0.2500 0.2500 0.1664  4 F 2.69-2.86
Rb: 0.7500 0.7500 0.8336  4 F 2.69-2.86
Np: 0.2500 0.7500 0.2731  6 F 2.06-2.09
Np: 0.7500 0.2500 0.7269  6 F 2.06-2.09
Cl: 0.2500 0.6423 0.7625  1 Cl 2.00
Cl: 0.2500 0.8577 0.7625  1 Cl 2.00
Cl: 0.7500 0.1423 0.2375  1 Cl 2.00
Cl: 0.7500 0.3577 0.2375  1 Cl 2.00
F: 0.0243 0.7500 0.0980  1 Np 2.09
F: 0.0250 0.7500 0.4425  1 Np 2.06
F: 0.2500 0.5249 0.2692  1 Np 2.09
F: 0.2500 0.9751 0.2692  1 Np 2.09
F: 0.4750 0.7500 0.4425  1 Np 2.06
F: 0.4757 0.7500 0.0980  1 Np 2.09
F: 0.5243 0.2500 0.9020  1 Np 2.09
F: 0.5250 0.2500 0.5575  1 Np 2.06
F: 0.7500 0.0249 0.7308  1 Np 2.09
F: 0.7500 0.4751 0.7308  1 Np 2.09
F: 0.9750 0.2500 0.5575  1 Np 2.06
F: 0.9757 0.2500 0.9020  1 Np 2.09

Properties
- volume (Å³/f.u.) = 256.9
- E_tot (eV for the cell shown) = -109.16
- space group = Pmmn, No. 59
- uncorrected formation energy (eV/atom) = -2.575

***

A relaxed structure of NpTl3Cl2F6. Source: Alexandria, functional PBE.

Cell lengths 9.0162, 9.0162, 4.7738 Å; angles 92.73, 92.73, 53.36 degrees
With the nearest neighbours (Å) after each atom.
Sites, in units of the cell vectors:
Np: 0.0000 0.0000 0.0000  6 F 2.06-2.09
Tl: 0.0000 0.5000 0.0000  4 Cl 3.19-3.34, 4 F 3.26-3.36
Tl: 0.5000 0.0000 0.0000  4 Cl 3.19-3.34, 4 F 3.26-3.36
Tl: 0.5000 0.5000 0.5000  4 F 2.93, 2 Cl 3.10
Cl: 0.3082 0.3082 0.5327  5 Tl 3.10-3.34, 1 F 3.41
Cl: 0.6918 0.6918 0.4673  5 Tl 3.10-3.34, 1 F 3.41
F: 0.1112 0.1112 0.2356  1 Np 2.06
F: 0.1368 0.7597 0.2335  1 Np 2.09
F: 0.2403 0.8632 0.7665  1 Np 2.09
F: 0.7597 0.1368 0.2335  1 Np 2.09
F: 0.8632 0.2403 0.7665  1 Np 2.09
F: 0.8888 0.8888 0.7644  1 Np 2.06

Properties
- volume (Å³/f.u.) = 311.0
- E_tot (eV for the cell shown) = -62.49
- space group = C2/m, No. 12
- uncorrected formation energy (eV/atom) = -2.295

***

A relaxed structure of NpTl2Cl3F3. Source: Alexandria, functional PBE.

Cell lengths 8.0280, 8.0280, 3.7111 Å; angles 90.00, 90.00, 120.00 degrees
With the nearest neighbours (Å) after each atom.
Sites, in units of the cell vectors:
Np: 0.0000 0.0000 0.0000  6 F 2.36
Tl: 0.3333 0.6667 0.5000  6 Cl 3.20, 3 F 3.45
Tl: 0.6667 0.3333 0.5000  6 Cl 3.20, 3 F 3.45
Cl: 0.0000 0.6485 0.0000  1 Np 2.82, 4 F 3.07
Cl: 0.3515 0.3515 0.0000  1 Np 2.82, 4 F 3.07
Cl: 0.6485 0.0000 0.0000  1 Np 2.82, 4 F 3.07
F: 0.0000 0.1822 0.5000  2 Np 2.36, 2 F 2.53
F: 0.1822 0.0000 0.5000  2 Np 2.36, 2 F 2.53
F: 0.8178 0.8178 0.5000  2 Np 2.36, 2 F 2.53

Properties
- volume (Å³/f.u.) = 207.1
- E_tot (eV for the cell shown) = -47.27
- space group = P-62m, No. 189
- uncorrected formation energy (eV/atom) = -2.049

***

A relaxed structure of NpTl3Cl6F2. Source: Alexandria, functional PBE.

Cell lengths 9.1909, 9.1909, 6.6587 Å; angles 109.67, 109.67, 54.01 degrees
With the nearest neighbours (Å) after each atom.
Sites, in units of the cell vectors:
Np: 0.0000 0.0000 0.0000  6 Cl 2.53-2.54
Tl: 0.0000 0.5000 0.5000  2 F 2.59
Tl: 0.5000 0.0000 0.5000  2 F 2.59
Tl: 0.5000 0.5000 0.5000  2 F 2.57
Cl: 0.0870 0.0870 0.4077  1 Np 2.54
Cl: 0.1129 0.6829 0.0387  1 Np 2.53
Cl: 0.3171 0.8871 0.9613  1 Np 2.53
Cl: 0.6829 0.1129 0.0387  1 Np 2.53
Cl: 0.8871 0.3171 0.9613  1 Np 2.53
Cl: 0.9130 0.9130 0.5923  1 Np 2.54
F: 0.3426 0.3426 0.4956  3 Tl 2.57-2.59
F: 0.6574 0.6574 0.5044  3 Tl 2.57-2.59

Properties
- volume (Å³/f.u.) = 421.4
- E_tot (eV for the cell shown) = -52.54
- space group = C2/m, No. 12
- uncorrected formation energy (eV/atom) = -1.473

***

A relaxed structure of ClO3F6. Source: Alexandria, functional PBE.

Cell lengths 7.0851, 7.0851, 7.0851 Å; angles 97.19, 97.19, 97.19 degrees
With the nearest neighbours (Å) after each atom.
Sites, in units of the cell vectors:
Cl: 0.0000 0.0000 0.0000  6 F 1.81
Cl: 0.5000 0.5000 0.5000  6 F 1.75
O: 0.0647 0.0647 0.5230  1 O 1.19
O: 0.0647 0.5230 0.0647  1 O 1.19
O: 0.4770 0.9353 0.9353  1 O 1.19
O: 0.5230 0.0647 0.0647  1 O 1.19
O: 0.9353 0.4770 0.9353  1 O 1.19
O: 0.9353 0.9353 0.4770  1 O 1.19
F: 0.0630 0.8220 0.8220  1 Cl 1.81
F: 0.1780 0.1780 0.9370  1 Cl 1.81
F: 0.1780 0.9370 0.1780  1 Cl 1.81
F: 0.2503 0.4829 0.4829  1 Cl 1.75
F: 0.4829 0.2503 0.4829  1 Cl 1.75
F: 0.4829 0.4829 0.2503  1 Cl 1.75
F: 0.5171 0.5171 0.7497  1 Cl 1.75
F: 0.5171 0.7497 0.5171  1 Cl 1.75
F: 0.7497 0.5171 0.5171  1 Cl 1.75
F: 0.8220 0.0630 0.8220  1 Cl 1.81
F: 0.8220 0.8220 0.0630  1 Cl 1.81
F: 0.9370 0.1780 0.1780  1 Cl 1.81

Properties
- volume (Å³/f.u.) = 173.2
- E_tot (eV for the cell shown) = -63.20
- space group = R-3m, No. 166
- uncorrected formation energy (eV/atom) = -0.365

***

A relaxed structure of Cl2OF4. Source: Alexandria, functional PBE.

Cell lengths 3.6925, 3.6925, 16.8686 Å; angles 90.00, 90.00, 90.00 degrees
With the nearest neighbours (Å) after each atom.
Sites, in units of the cell vectors:
Cl: 0.0000 0.0000 0.1437  1 F 1.64
Cl: 0.0000 0.0000 0.8563  1 F 1.64
Cl: 0.5000 0.5000 0.3563  1 F 1.64
Cl: 0.5000 0.5000 0.6437  1 F 1.64
O: 0.0000 0.0000 0.5000  4 F 1.85
O: 0.5000 0.5000 0.0000  4 F 1.85
F: 0.0000 0.0000 0.2407  1 Cl 1.64
F: 0.0000 0.0000 0.7593  1 Cl 1.64
F: 0.0000 0.5000 0.0000  2 O 1.85
F: 0.0000 0.5000 0.5000  2 O 1.85
F: 0.5000 0.0000 0.0000  2 O 1.85
F: 0.5000 0.0000 0.5000  2 O 1.85
F: 0.5000 0.5000 0.2593  1 Cl 1.64
F: 0.5000 0.5000 0.7407  1 Cl 1.64

Properties
- volume (Å³/f.u.) = 115.0
- E_tot (eV for the cell shown) = -30.62
- space group = I4/mmm, No. 139
- uncorrected formation energy (eV/atom) = 0.118

***

A relaxed structure of ClO2F3. Source: Alexandria, functional PBE.

Cell lengths 5.6782, 5.6782, 10.1735 Å; angles 111.35, 111.35, 45.74 degrees
With the nearest neighbours (Å) after each atom.
Sites, in units of the cell vectors:
Cl: 0.0580 0.9420 0.7500  1 F 1.65
Cl: 0.9420 0.0580 0.2500  1 F 1.65
O: 0.0766 0.5395 0.9411  1 F 1.38
O: 0.4605 0.9234 0.5589  1 F 1.38
O: 0.5395 0.0766 0.4411  1 F 1.38
O: 0.9234 0.4605 0.0589  1 F 1.38
F: 0.2772 0.4117 0.4325  1 O 1.38
F: 0.3155 0.6845 0.2500  1 Cl 1.65
F: 0.4117 0.2772 0.9325  1 O 1.38
F: 0.5883 0.7228 0.0675  1 O 1.38
F: 0.6845 0.3155 0.7500  1 Cl 1.65
F: 0.7228 0.5883 0.5675  1 O 1.38

Properties
- volume (Å³/f.u.) = 107.9
- E_tot (eV for the cell shown) = -32.14
- space group = C2/c, No. 15
- uncorrected formation energy (eV/atom) = 0.218

***

A relaxed structure of ClO4F. Source: Alexandria, functional PBE.

Cell lengths 6.7851, 7.0383, 7.2684 Å; angles 61.05, 89.00, 63.18 degrees
With the nearest neighbours (Å) after each atom.
Sites, in units of the cell vectors:
Cl: 0.2237 0.3017 0.3141  1 F 1.66
Cl: 0.7763 0.6983 0.6859  1 F 1.66
O: 0.0103 0.0796 0.7397  1 O 1.23
O: 0.1690 0.9883 0.6688  1 O 1.23
O: 0.3468 0.2670 0.8148  1 O 1.23
O: 0.4672 0.3572 0.7309  1 O 1.23
O: 0.5328 0.6428 0.2691  1 O 1.23
O: 0.6532 0.7330 0.1852  1 O 1.23
O: 0.8310 0.0117 0.3312  1 O 1.23
O: 0.9897 0.9204 0.2603  1 O 1.23
F: 0.2372 0.5168 0.0840  1 Cl 1.66
F: 0.7628 0.4832 0.9160  1 Cl 1.66

Properties
- volume (Å³/f.u.) = 131.0
- E_tot (eV for the cell shown) = -48.08
- space group = P-1, No. 2
- uncorrected formation energy (eV/atom) = -0.082

***

A relaxed structure of PCl2OF. Source: Alexandria, functional PBE.

Cell lengths 5.6251, 5.6251, 3.3147 Å; angles 90.00, 90.00, 90.00 degrees
With the nearest neighbours (Å) after each atom.
Sites, in units of the cell vectors:
P: 0.0000 0.0000 0.0000  2 O 1.66
Cl: 0.0000 0.5000 0.5000  2 O 2.81
Cl: 0.5000 0.0000 0.5000  2 O 2.81
O: 0.0000 0.0000 0.5000  2 P 1.66
F: 0.5000 0.5000 0.0000  8 Cl 3.26, 2 F 3.31

Properties
- volume (Å³/f.u.) = 104.9
- E_tot (eV for the cell shown) = -13.85
- space group = P4/mmm, No. 123
- uncorrected formation energy (eV/atom) = 0.416
- relative energy among the computed polymorphs (eV per atom) = 1.946

***

A relaxed structure of PCl2OF. Source: Alexandria, functional PBE.

Cell lengths 10.1743, 5.7215, 9.8792 Å; angles 90.00, 116.84, 90.00 degrees
With the nearest neighbours (Å) after each atom.
Sites, in units of the cell vectors:
P: 0.2304 0.1193 0.0480  1 O 1.47, 1 F 1.57
P: 0.2304 0.3807 0.5480  1 O 1.47, 1 F 1.57
P: 0.7696 0.6193 0.4520  1 O 1.47, 1 F 1.57
P: 0.7696 0.8807 0.9520  1 O 1.47, 1 F 1.57
Cl: 0.1981 0.5968 0.3783  1 P 1.99
Cl: 0.1981 0.9032 0.8783  1 P 1.99
Cl: 0.4178 0.2108 0.5951  1 P 2.00
Cl: 0.4178 0.2892 0.0951  1 P 2.00
Cl: 0.5822 0.7108 0.9049  1 P 2.00
Cl: 0.5822 0.7892 0.4049  1 P 2.00
Cl: 0.8019 0.0968 0.1217  1 P 1.99
Cl: 0.8019 0.4032 0.6217  1 P 1.99
O: 0.2234 0.0124 0.1795  1 P 1.47
O: 0.2234 0.4876 0.6795  1 P 1.47
O: 0.7766 0.5124 0.3205  1 P 1.47
O: 0.7766 0.9876 0.8205  1 P 1.47
F: 0.1121 0.1857 0.4678  1 P 1.57
F: 0.1121 0.3143 0.9678  1 P 1.57
F: 0.8879 0.6857 0.0322  1 P 1.57
F: 0.8879 0.8143 0.5322  1 P 1.57

Properties
- volume (Å³/f.u.) = 128.3
- E_tot (eV for the cell shown) = -94.33
- space group = P2_1/c, No. 14
- uncorrected formation energy (eV/atom) = -1.530
- relative energy among the computed polymorphs (eV per atom) = 0.000

***

A relaxed structure of PCl2OF. Source: Alexandria, functional PBE.

Cell lengths 5.3762, 5.3762, 3.5908 Å; angles 90.00, 90.00, 90.00 degrees
With the nearest neighbours (Å) after each atom.
Sites, in units of the cell vectors:
P: 0.0000 0.0000 0.0000  2 F 1.80
Cl: 0.0000 0.5000 0.5000  2 F 2.69
Cl: 0.5000 0.0000 0.5000  2 F 2.69
O: 0.5000 0.5000 0.0000  8 Cl 3.23, 2 O 3.59
F: 0.0000 0.0000 0.5000  2 P 1.80

Properties
- volume (Å³/f.u.) = 103.8
- E_tot (eV for the cell shown) = -12.31
- space group = P4/mmm, No. 123
- uncorrected formation energy (eV/atom) = 0.724
- relative energy among the computed polymorphs (eV per atom) = 2.254